1.
## Rb3BaSi (PBE)

Data for a geometry-optimized Rb3BaSi structure.

Cell: 6.987 6.987 6.987 Å, 90.00 90.00 90.00°
Sites, in units of the cell vectors:
Rb: 0.000 0.000 0.500
Rb: 0.000 0.500 0.000
Rb: 0.500 0.000 0.000
Ba: 0.500 0.500 0.500
Si: 0.000 0.000 0.000

For the formation energy from raw total energies, the calculation gives 0.4384 eV per atom. The total energy is -1.61 eV per atom.

---

2.
## Rb2BaSi2 (PBE)

Data for a geometry-optimized Rb2BaSi2 structure.

Cell: 8.362 8.362 8.362 Å, 145.00 145.00 50.34°
Sites, in units of the cell vectors:
Rb: 0.250 0.750 0.500
Rb: 0.750 0.250 0.500
Ba: 0.000 0.000 0.000
Si: 0.425 0.425 0.000
Si: 0.575 0.575 0.000

For the formation energy from raw total energies, the calculation gives 0.0749 eV per atom. The total energy is -2.87 eV per atom. Its offset from the most stable computed form is 0.000 eV/atom.

---

3.
## RbBa2Si2 (PBE)

Data for a geometry-optimized RbBa2Si2 structure.

Cell: 8.916 8.916 4.779 Å, 90.00 90.00 90.00°
Sites, in units of the cell vectors:
Rb: 0.000 0.000 0.000
Rb: 0.500 0.500 0.000
Ba: 0.174 0.326 0.500
Ba: 0.326 0.826 0.500
Ba: 0.674 0.174 0.500
Ba: 0.826 0.674 0.500
Si: 0.093 0.593 0.000
Si: 0.407 0.093 0.000
Si: 0.593 0.907 0.000
Si: 0.907 0.407 0.000

For the formation energy from raw total energies, the calculation gives -0.1372 eV per atom. The total energy is -3.27 eV per atom. Its offset from the most stable computed form is 0.000 eV/atom.

---

4.
## RbBa2Si2 (PBE)

Data for a geometry-optimized RbBa2Si2 structure.

Cell: 9.962 9.962 3.587 Å, 90.00 90.00 90.00°
Sites, in units of the cell vectors:
Rb: 0.000 0.000 0.000
Rb: 0.500 0.500 0.000
Ba: 0.130 0.370 0.000
Ba: 0.370 0.870 0.000
Ba: 0.630 0.130 0.000
Ba: 0.870 0.630 0.000
Si: 0.168 0.668 0.500
Si: 0.332 0.168 0.500
Si: 0.668 0.832 0.500
Si: 0.832 0.332 0.500

For the formation energy from raw total energies, the calculation gives 0.0344 eV per atom. The total energy is -3.10 eV per atom. Its offset from the most stable computed form is 0.172 eV/atom.